1.
Here is a relaxed Cu3SbCl crystal from Alexandria. Energies are from GGA-PBEsol.

POSCAR file:
```
Cu3SbCl
1.0
4.8202 0.0000 0.0000
0.0000 4.8202 0.0000
0.0000 0.0000 4.8202
Cu Sb Cl
3 1 1
Direct
0.0000 0.0000 0.5000 Cu
0.0000 0.5000 0.0000 Cu
0.5000 0.0000 0.0000 Cu
0.0000 0.0000 0.0000 Sb
0.5000 0.5000 0.5000 Cl
```

Summary:
Symmetry: No. 221
Crystal system: cubic
Theoretical density, g/cm³: 5.16
Uncorrected formation energy, eV/atom: 0.62

=====

2.
Here is a relaxed SrZnRe2 crystal from Alexandria. Energies are from GGA-PBEsol.

POSCAR file:
```
SrZnRe2
1.0
2.7753 0.0000 0.0000
0.0000 4.1744 0.0000
0.0000 0.0000 6.6423
Sr Zn Re
1 1 2
Direct
0.0000 0.0000 0.0000 Sr
0.0000 0.0000 0.5000 Zn
0.5000 0.5000 0.3273 Re
0.5000 0.5000 0.6727 Re
```

Summary:
Symmetry: No. 47
Formation enthalpy at 0 K, meV per atom: 820
Crystal system: orthorhombic
Theoretical density, g/cm³: 11.34

=====

3.
Here is a relaxed Li2YBr crystal from Alexandria. Energies are from GGA-PBEsol.

POSCAR file:
```
Li2YBr
1.0
3.5150 0.0000 0.0000
0.0000 5.1033 0.0000
0.0000 0.0000 10.2533
Li Y Br
4 2 2
Direct
0.0000 0.0000 0.0000 Li
0.0000 0.5000 0.2150 Li
0.5000 0.0000 0.7150 Li
0.5000 0.5000 0.5000 Li
0.0000 0.5000 0.7888 Y
0.5000 0.0000 0.2888 Y
0.0000 0.0000 0.5312 Br
0.5000 0.5000 0.0312 Br
```

Summary:
Symmetry: No. 44
Crystal system: orthorhombic
Energy relative to the lowest polymorph listed for this composition, meV per atom: 20
Theoretical density, g/cm³: 3.30
Uncorrected formation energy, eV/atom: -0.35

=====

4.
Here is a relaxed AlBi2HRu crystal from Alexandria. Energies are from GGA-PBEsol.

POSCAR file:
```
AlBi2HRu
1.0
5.0797 0.0000 0.0000
0.0000 5.0797 0.0000
0.0000 0.0000 3.4537
Al Bi H Ru
1 2 1 1
Direct
0.0000 0.0000 0.0000 Al
0.0000 0.5000 0.5000 Bi
0.5000 0.0000 0.5000 Bi
0.5000 0.5000 0.5000 H
0.5000 0.5000 0.0000 Ru
```

Summary:
Symmetry: No. 123
Crystal system: tetragonal
Electronic total energy, eV/atom: -4.850
Theoretical density, g/cm³: 10.19

=====

5.
Here is a relaxed Co2SiO4 crystal from Alexandria. Energies are from GGA-PBEsol.

POSCAR file:
```
Co2SiO4
1.0
0.0000 4.0277 4.0277
4.0277 0.0000 4.0277
4.0277 4.0277 0.0000
Co Si O
4 2 8
Direct
0.0000 0.0000 0.0000 Co
0.0000 0.0000 0.5000 Co
0.0000 0.5000 0.0000 Co
0.5000 0.0000 0.0000 Co
0.3750 0.3750 0.3750 Si
0.6250 0.6250 0.6250 Si
0.2565 0.2565 0.2565 O
0.2565 0.2565 0.7306 O
0.2565 0.7306 0.2565 O
0.2694 0.7435 0.7435 O
0.7306 0.2565 0.2565 O
0.7435 0.2694 0.7435 O
0.7435 0.7435 0.2694 O
0.7435 0.7435 0.7435 O
```

Summary:
Symmetry: No. 227
Crystal system: cubic
Energy relative to the lowest polymorph listed for this composition, meV per atom: 0
Theoretical density, g/cm³: 5.34
Uncorrected formation energy, eV/atom: -1.54

=====

6.
Here is a relaxed Rb2NaAsBr6 crystal from Alexandria. Energies are from GGA-PBEsol.

POSCAR file:
```
Rb2NaAsBr6
1.0
0.0000 5.4588 5.4588
5.4588 0.0000 5.4588
5.4588 5.4588 0.0000
Rb Na As Br
2 1 1 6
Direct
0.2500 0.2500 0.2500 Rb
0.7500 0.7500 0.7500 Rb
0.0000 0.0000 0.0000 Na
0.5000 0.5000 0.5000 As
0.2601 0.2601 0.7399 Br
0.2601 0.7399 0.2601 Br
0.2601 0.7399 0.7399 Br
0.7399 0.2601 0.2601 Br
0.7399 0.2601 0.7399 Br
0.7399 0.7399 0.2601 Br
```

Summary:
Symmetry: No. 225
Crystal system: cubic
Theoretical density, g/cm³: 3.82
Uncorrected formation energy, eV/atom: -1.17

=====

7.
Here is a relaxed La2AgMo crystal from Alexandria. Energies are from GGA-PBEsol.

POSCAR file:
```
La2AgMo
1.0
4.4191 0.0000 0.0000
0.0000 4.4191 0.0000
0.0000 0.0000 9.3103
La Ag Mo
4 2 2
Direct
0.0000 0.0000 0.0000 La
0.0000 0.5000 0.2500 La
0.5000 0.0000 0.7500 La
0.5000 0.5000 0.5000 La
0.0000 0.5000 0.7500 Ag
0.5000 0.0000 0.2500 Ag
0.0000 0.0000 0.5000 Mo
0.5000 0.5000 0.0000 Mo
```

Summary:
Symmetry: No. 119
Formation enthalpy at 0 K, meV per atom: 374
Crystal system: tetragonal
Energy relative to the lowest polymorph listed for this composition, meV per atom: 0
Theoretical density, g/cm³: 8.80

=====

8.
Here is a relaxed YAg4Pb crystal from Alexandria. Energies are from GGA-PBEsol.

POSCAR file:
```
YAg4Pb
1.0
0.0000 3.9238 3.9238
3.9238 0.0000 3.9238
3.9238 3.9238 0.0000
Y Ag Pb
1 4 1
Direct
0.0000 0.0000 0.0000 Y
0.1240 0.6253 0.6253 Ag
0.6253 0.1240 0.6253 Ag
0.6253 0.6253 0.1240 Ag
0.6253 0.6253 0.6253 Ag
0.2500 0.2500 0.2500 Pb
```

Summary:
Symmetry: No. 216
Formation enthalpy at 0 K, meV per atom: -199
Crystal system: cubic
Theoretical density, g/cm³: 10.00

=====

9.
Here is a relaxed In2Pb2Se crystal from Alexandria. Energies are from GGA-PBEsol.

POSCAR file:
```
In2Pb2Se
1.0
4.0610 0.0000 0.0000
0.0000 4.0610 0.0000
0.0000 0.0000 17.0143
In Pb Se
4 4 2
Direct
0.0000 0.5000 0.2500 In
0.0000 0.5000 0.7500 In
0.5000 0.0000 0.2500 In
0.5000 0.0000 0.7500 In
0.0000 0.0000 0.0916 Pb
0.0000 0.0000 0.9084 Pb
0.5000 0.5000 0.4084 Pb
0.5000 0.5000 0.5916 Pb
0.0000 0.0000 0.5000 Se
0.5000 0.5000 0.0000 Se
```

Summary:
Symmetry: No. 139
Crystal system: tetragonal
Theoretical density, g/cm³: 8.56
Uncorrected formation energy, eV/atom: 0.01

=====

10.
Here is a relaxed Zr2RhPb crystal from Alexandria. Energies are from GGA-PBEsol.

POSCAR file:
```
Zr2RhPb
1.0
4.1736 0.0000 0.0000
0.0000 3.6861 0.0000
0.0000 0.0000 10.7563
Zr Rh Pb
4 2 2
Direct
0.0000 0.0000 0.0000 Zr
0.0000 0.5000 0.5000 Zr
0.5000 0.0000 0.3050 Zr
0.5000 0.5000 0.8050 Zr
0.5000 0.0000 0.5451 Rh
0.5000 0.5000 0.0451 Rh
0.0000 0.0000 0.7230 Pb
0.0000 0.5000 0.2230 Pb
```

Summary:
Symmetry: No. 38
Formation enthalpy at 0 K, meV per atom: -368
Crystal system: orthorhombic
Theoretical density, g/cm³: 9.89

=====

11.
Here is a relaxed La2MgZn crystal from Alexandria. Energies are from GGA-PBEsol.

POSCAR file:
```
La2MgZn
1.0
4.8132 0.0000 0.0000
0.0000 3.5456 0.0000
0.0000 0.0000 12.6084
La Mg Zn
4 2 2
Direct
0.0000 0.0000 0.0000 La
0.0000 0.5000 0.5000 La
0.5000 0.0000 0.3338 La
0.5000 0.5000 0.8338 La
0.5000 0.0000 0.6115 Mg
0.5000 0.5000 0.1115 Mg
0.0000 0.0000 0.7312 Zn
0.0000 0.5000 0.2312 Zn
```

Summary:
Symmetry: No. 38
Formation enthalpy at 0 K, meV per atom: -113
Crystal system: orthorhombic
Energy relative to the lowest polymorph listed for this composition, meV per atom: 80
Theoretical density, g/cm³: 5.67

=====

12.
Here is a relaxed Cu4Ag crystal from Alexandria. Energies are from GGA-PBEsol.

POSCAR file:
```
Cu4Ag
1.0
5.8061 0.0000 0.0000
0.0000 5.8061 0.0000
0.0000 0.0000 3.6755
Cu Ag
8 2
Direct
0.0943 0.3061 0.0000 Cu
0.1939 0.5943 0.5000 Cu
0.3061 0.9057 0.0000 Cu
0.4057 0.1939 0.5000 Cu
0.5943 0.8061 0.5000 Cu
0.6939 0.0943 0.0000 Cu
0.8061 0.4057 0.5000 Cu
0.9057 0.6939 0.0000 Cu
0.0000 0.0000 0.5000 Ag
0.5000 0.5000 0.0000 Ag
```

Summary:
Symmetry: No. 87
Formation enthalpy at 0 K, meV per atom: 71
Crystal system: tetragonal
Theoretical density, g/cm³: 9.70

=====

13.
Here is a relaxed HfScIr2 crystal from Alexandria. Energies are from GGA-PBEsol.

POSCAR file:
```
HfScIr2
1.0
6.4321 0.0000 0.0000
0.0000 6.4321 0.0000
0.0000 0.0000 6.4321
Hf Sc Ir
4 4 8
Direct
0.0000 0.0000 0.0000 Hf
0.0000 0.5000 0.5000 Hf
0.5000 0.0000 0.5000 Hf
0.5000 0.5000 0.0000 Hf
0.0000 0.0000 0.5000 Sc
0.0000 0.5000 0.0000 Sc
0.5000 0.0000 0.0000 Sc
0.5000 0.5000 0.5000 Sc
0.2500 0.2500 0.2500 Ir
0.2500 0.2500 0.7500 Ir
0.2500 0.7500 0.2500 Ir
0.2500 0.7500 0.7500 Ir
0.7500 0.2500 0.2500 Ir
0.7500 0.2500 0.7500 Ir
0.7500 0.7500 0.2500 Ir
0.7500 0.7500 0.7500 Ir
```

Summary:
Symmetry: No. 225
Formation enthalpy at 0 K, meV per atom: -962
Crystal system: cubic
Theoretical density, g/cm³: 15.17

=====

14.
Here is a relaxed Li2ZrSb crystal from Alexandria. Energies are from GGA-PBEsol.

POSCAR file:
```
Li2ZrSb
1.0
4.0207 0.0000 0.0000
0.0000 4.0207 0.0000
0.0000 0.0000 21.3894
Li Zr Sb
8 4 4
Direct
0.2359 0.2500 0.1250 Li
0.2500 0.7359 0.3750 Li
0.2500 0.7641 0.8750 Li
0.2641 0.2500 0.6250 Li
0.7359 0.7500 0.6250 Li
0.7500 0.2359 0.8750 Li
0.7500 0.2641 0.3750 Li
0.7641 0.7500 0.1250 Li
0.0000 0.0000 0.5000 Zr
0.0000 0.5000 0.7500 Zr
0.5000 0.0000 0.2500 Zr
0.5000 0.5000 0.0000 Zr
0.0000 0.0000 0.0000 Sb
0.0000 0.5000 0.2500 Sb
0.5000 0.0000 0.7500 Sb
0.5000 0.5000 0.5000 Sb
```

Summary:
Symmetry: No. 122
Crystal system: tetragonal
Theoretical density, g/cm³: 4.36
Uncorrected formation energy, eV/atom: -0.16

=====

15.
Here is a relaxed CaTe2CI crystal from Alexandria. Energies are from GGA-PBEsol.

POSCAR file:
```
CaTe2CI
1.0
5.8749 0.0000 0.0000
0.0000 5.8749 0.0000
0.0000 0.0000 5.7952
Ca Te C I
1 2 1 1
Direct
0.0000 0.0000 0.0000 Ca
0.0000 0.5000 0.0000 Te
0.5000 0.0000 0.0000 Te
0.5000 0.5000 0.5000 C
0.0000 0.0000 0.5000 I
```

Summary:
Symmetry: No. 123
Crystal system: tetragonal
Theoretical density, g/cm³: 3.60
Uncorrected formation energy, eV/atom: 1.42

=====

16.
Here is a relaxed La2AgHg crystal from Alexandria. Energies are from GGA-PBEsol.

POSCAR file:
```
La2AgHg
1.0
3.9010 0.0000 0.0000
-1.9505 3.3784 0.0000
0.0000 0.0000 26.9407
La Ag Hg
6 3 3
Direct
0.0000 0.0000 0.2471 La
0.0000 0.0000 0.7529 La
0.3333 0.6667 0.4196 La
0.3333 0.6667 0.9138 La
0.6667 0.3333 0.0862 La
0.6667 0.3333 0.5804 La
0.0000 0.0000 0.5000 Ag
0.3333 0.6667 0.1667 Ag
0.6667 0.3333 0.8333 Ag
0.0000 0.0000 0.0000 Hg
0.3333 0.6667 0.6667 Hg
0.6667 0.3333 0.3333 Hg
```

Summary:
Symmetry: No. 166
Formation enthalpy at 0 K, meV per atom: -168
Crystal system: trigonal
Theoretical density, g/cm³: 8.23

=====

17.
Here is a relaxed LiZnRu2 crystal from Alexandria. Energies are from GGA-PBEsol.

POSCAR file:
```
LiZnRu2
1.0
2.7336 0.0000 0.0000
0.0000 4.4841 0.0000
0.0000 0.0000 8.9714
Li Zn Ru
2 2 4
Direct
0.0000 0.0000 0.0000 Li
0.5000 0.5000 0.0000 Li
0.0000 0.5000 0.7422 Zn
0.5000 0.0000 0.7422 Zn
0.0000 0.0000 0.4911 Ru
0.0000 0.5000 0.2494 Ru
0.5000 0.0000 0.2494 Ru
0.5000 0.5000 0.4911 Ru
```

Summary:
Symmetry: No. 35
Formation enthalpy at 0 K, meV per atom: 239
Crystal system: orthorhombic
Theoretical density, g/cm³: 8.29

=====

18.
Here is a relaxed Ho4CdS7 crystal from Alexandria. Energies are from GGA-PBEsol.

POSCAR file:
```
Ho4CdS7
1.0
6.2267 -1.8820 0.0000
6.2267 1.8820 0.0000
-3.0315 0.0000 10.9884
Ho Cd S
4 1 7
Direct
0.0000 0.0000 0.0000 Ho
0.3864 0.3864 0.6009 Ho
0.5911 0.5911 0.3818 Ho
0.6942 0.6942 0.8127 Ho
0.8197 0.8197 0.2299 Cd
0.0344 0.0344 0.7554 S
0.2267 0.2267 0.3420 S
0.3556 0.3556 0.8563 S
0.4468 0.4468 0.1586 S
0.6602 0.6602 0.0305 S
0.7363 0.7363 0.5986 S
0.9670 0.9670 0.4570 S
```

Summary:
Symmetry: No. 8
Crystal system: monoclinic
Theoretical density, g/cm³: 6.43
Uncorrected formation energy, eV/atom: -1.84

=====

19.
Here is a relaxed Ba2GdGaTe5 crystal from Alexandria. Energies are from GGA-PBEsol.

POSCAR file:
```
Ba2GdGaTe5
1.0
7.7310 0.0000 0.0000
-2.7372 8.7519 0.0000
-2.2590 -3.1218 9.1811
Ba Gd Ga Te
4 2 2 10
Direct
0.1409 0.4818 0.2926 Ba
0.1430 0.9847 0.2871 Ba
0.8570 0.0153 0.7129 Ba
0.8591 0.5182 0.7074 Ba
0.4992 0.2352 0.9986 Gd
0.5008 0.7648 0.0014 Gd
0.3086 0.3735 0.6877 Ga
0.6914 0.6265 0.3123 Ga
0.0209 0.7605 0.5111 Te
0.1962 0.9074 0.9401 Te
0.2054 0.4096 0.9329 Te
0.4837 0.1689 0.6757 Te
0.4838 0.6616 0.6786 Te
0.5162 0.3384 0.3214 Te
0.5163 0.8311 0.3243 Te
0.7946 0.5904 0.0671 Te
0.8038 0.0926 0.0599 Te
0.9791 0.2395 0.4889 Te
```

Summary:
Symmetry: No. 2
Crystal system: triclinic
Theoretical density, g/cm³: 6.09
Uncorrected formation energy, eV/atom: -1.28

=====

20.
Here is a relaxed MgZr2Fe crystal from Alexandria. Energies are from GGA-PBEsol.

POSCAR file:
```
MgZr2Fe
1.0
3.1730 0.0000 0.0000
0.0000 3.1730 0.0000
0.0000 0.0000 7.3503
Mg Zr Fe
1 2 1
Direct
0.0000 0.0000 0.0000 Mg
0.0000 0.0000 0.5969 Zr
0.5000 0.5000 0.3130 Zr
0.5000 0.5000 0.7750 Fe
```

Summary:
Symmetry: No. 99
Formation enthalpy at 0 K, meV per atom: 70
Crystal system: tetragonal
Theoretical density, g/cm³: 5.89